No. 1
Below is a relaxed structure of Re2OsBr, with properties calculated at the GGA-PBE level.

Cell: 2.853 2.853 7.754 Å, 90.00 90.00 90.00°
Sites, in units of the cell vectors:
Re1 0.000 0.000 0.985
Re2 0.000 0.000 0.515
Br1 0.500 0.500 0.250
Os1 0.500 0.500 0.750

Values from the calculation:
Offset from the most stable computed form = 0.181 eV per atom


No. 2
Below is a relaxed structure of PrSn3Hg3, with properties calculated at the GGA-PBE level.

Cell: 7.839 7.839 7.839 Å, 90.00 90.00 90.00°
Sites, in units of the cell vectors:
Sn1 0.250 0.000 0.500
Sn2 0.500 0.750 0.000
Sn3 0.500 0.250 0.000
Hg1 0.500 0.000 0.250
Hg2 0.500 0.000 0.750
Pr1 0.500 0.500 0.500
Hg3 0.250 0.500 0.000
Hg4 0.000 0.250 0.500
Sn4 0.000 0.500 0.250
Pr2 0.000 0.000 0.000
Hg5 0.000 0.750 0.500
Sn5 0.000 0.500 0.750
Sn6 0.750 0.000 0.500
Hg6 0.750 0.500 0.000

Values from the calculation:
ΔH_f (0 K) = 0.291 eV per atom


No. 3
Below is a relaxed structure of NaLiZnIn, with properties calculated at the GGA-PBE level.

Cell: 4.845 4.845 4.845 Å, 60.00 60.00 60.00°
Sites, in units of the cell vectors:
In1 0.250 0.250 0.250
Li1 0.000 0.000 0.000
Zn1 0.500 0.500 0.500
Na1 0.750 0.750 0.750

Values from the calculation:
ΔH_f (0 K) = -0.136 eV per atom


Which D(E_F) belongs to each record? In order, 3.77, 6.39, 1.92 states/eV per cell.